DFT (PBE) results for crystalline Ca4SiHg2 at its relaxed geometry.

Computed properties:
* calculated total energy: -16.67 eV for the cell shown
* energy relative to the elements, uncorrected: -0.38 eV per atom
* space group: No. 166

a = 5.205 Å, b = 5.205 Å, c = 9.289 Å
α = 73.73°, β = 73.73°, γ = 60.00°
Element x y z (fractional)
Ca (0.879, 0.879, 0.364)
Ca (0.121, 0.121, 0.636)
Ca (0.629, 0.629, 0.112)
Ca (0.371, 0.371, 0.888)
Si (0.000, 0.000, 0.000)
Hg (0.754, 0.754, 0.738)
Hg (0.246, 0.246, 0.262)